1.
Here is crystalline Tb3Mg2Hg2 at its relaxed geometry from Alexandria via LeMat-Bulk. Energies are from PBE-GGA.

Structure (POSCAR):
```
Tb3Mg2Hg2
1.0
4.608 0.000 0.612
0.000 3.369 0.000
0.782 0.000 11.777
Tb Mg Hg
3 2 2
Cartesian
1.224 0.000 8.445
4.166 0.000 3.944
0.000 0.000 0.000
1.646 1.684 5.261
3.743 1.684 7.127
3.324 1.684 10.289
2.066 1.684 2.100
```

Formation enthalpy at 0 K = -0.207 eV/atom
Electronic total energy = -2.734 eV per atom
Fermi-level density of states = 0.867 states/eV/atom
Total magnetization = 0.36 μB per formula unit

---

2.
Here is crystalline Tb3Mg2Hg4 at its relaxed geometry from Alexandria via LeMat-Bulk. Energies are from PBE-GGA.

Structure (POSCAR):
```
Tb3Mg2Hg4
1.0
-4.571 -1.618 0.990
4.012 -1.058 4.428
-3.206 8.611 -0.734
Tb Hg Mg
3 4 2
Cartesian
0.145 1.504 3.126
0.000 0.000 0.000
-3.910 4.432 1.558
-2.026 7.037 2.142
-2.738 2.808 4.317
-1.739 -1.102 2.542
-1.027 3.127 0.366
-0.966 4.653 3.144
-2.800 1.282 1.539
```

Formation enthalpy at 0 K = -0.376 eV/atom
Electronic total energy = -2.408 eV per atom
Fermi-level density of states = 0.744 states/eV/atom
Total magnetization = 0.00 μB per formula unit